A plane-wave DFT calculation with GGA-PBE was carried out for a geometry-optimized NaReP2O8 structure.

Results
VASP energy   -7.245 eV per atom
Formation energy without anion corrections   -1.891 eV/atom

Cell and atoms, written as CIF:
```
data_NaReP2O8
_symmetry_space_group_name_H-M 'R -3'
_symmetry_Int_Tables_number 148
_symmetry_space_group_name_Hall '-R 3'
_cell_length_a 4.8545
_cell_length_b 4.8545
_cell_length_c 24.4388
_cell_angle_alpha 90.00
_cell_angle_beta 90.00
_cell_angle_gamma 120.00
loop_
_atom_site_label
_atom_site_type_symbol
_atom_site_fract_x
_atom_site_fract_y
_atom_site_fract_z
Na1 Na 0.0000 0.0000 0.0000
Re1 Re 0.0000 0.0000 0.5000
P1 P 0.0000 0.0000 0.2388
O1 O 0.0000 0.0000 0.2999
O2 O 0.0161 0.3876 0.8812
```

---

A plane-wave DFT calculation with GGA-PBE was carried out for a geometry-optimized NaReP2O structure.

Results
Distance to the lowest polymorph of the same formula   2021 meV per atom
VASP energy   -4.178 eV per atom
Formation energy without anion corrections   1.731 eV/atom

Cell and atoms, written as CIF:
```
data_NaReP2O
_symmetry_space_group_name_H-M 'P 4/m m m'
_symmetry_Int_Tables_number 123
_symmetry_space_group_name_Hall '-P 4 2'
_cell_length_a 4.689
_cell_length_b 4.689
_cell_length_c 3.654
_cell_angle_alpha 90.00
_cell_angle_beta 90.00
_cell_angle_gamma 90.00
loop_
_atom_site_label
_atom_site_type_symbol
_atom_site_fract_x
_atom_site_fract_y
_atom_site_fract_z
Na1 Na 0.000 0.000 0.000
Re1 Re 0.500 0.500 0.500
P1 P 0.000 0.500 0.000
O1 O 0.000 0.000 0.500
```

---

A plane-wave DFT calculation with GGA-PBE was carried out for a geometry-optimized NaReP2O structure.

Results
Distance to the lowest polymorph of the same formula   0 meV per atom
VASP energy   -6.200 eV per atom
Formation energy without anion corrections   -0.291 eV/atom

Cell and atoms, written as CIF:
```
data_NaReP2O
_symmetry_space_group_name_H-M 'P 4/m m m'
_symmetry_Int_Tables_number 123
_symmetry_space_group_name_Hall '-P 4 2'
_cell_length_a 4.808
_cell_length_b 4.808
_cell_length_c 3.785
_cell_angle_alpha 90.00
_cell_angle_beta 90.00
_cell_angle_gamma 90.00
loop_
_atom_site_label
_atom_site_type_symbol
_atom_site_fract_x
_atom_site_fract_y
_atom_site_fract_z
Na1 Na 0.000 0.000 0.000
Re1 Re 0.500 0.500 0.500
P1 P 0.000 0.500 0.500
O1 O 0.500 0.500 0.000
```

---

A plane-wave DFT calculation with GGA-PBE was carried out for a geometry-optimized NaP2RhO structure.

Results
Distance to the lowest polymorph of the same formula   1202 meV per atom
VASP energy   -3.553 eV per atom
Formation energy without anion corrections   1.336 eV/atom

Cell and atoms, written as CIF:
```
data_NaP2RhO
_symmetry_space_group_name_H-M 'P 4/m m m'
_symmetry_Int_Tables_number 123
_symmetry_space_group_name_Hall '-P 4 2'
_cell_length_a 4.756
_cell_length_b 4.756
_cell_length_c 3.761
_cell_angle_alpha 90.00
_cell_angle_beta 90.00
_cell_angle_gamma 90.00
loop_
_atom_site_label
_atom_site_type_symbol
_atom_site_fract_x
_atom_site_fract_y
_atom_site_fract_z
Na1 Na 0.000 0.000 0.000
P1 P 0.000 0.500 0.000
Rh1 Rh 0.500 0.500 0.500
O1 O 0.000 0.000 0.500
```